The following is a GGA+U calculation of crystalline VCl2F4 at its relaxed geometry, from the Alexandria database.

E   -61.29 eV per cell

a b c (Å): 18.1570 3.1596 4.2621
angles (deg): 90.00 98.39 90.00
Space group C2/m (No. 12)
One atom of each set of equivalent atoms:
1 V 0.0000 0.0000 0.0000
2 Cl 0.2498 0.0000 0.2501
3 F 0.0467 0.5000 0.2331
4 F 0.0725 0.0000 0.7656